Record 1
Computed, not measured: an optimized crystal structure of AlZnSb at the GGA-PBEsol level of DFT.

Computed properties:
Density of states at the Fermi level, states/eV per cell: 1.402
Crystal system: tetragonal

a = 3.156 Å, b = 3.156 Å, c = 6.327 Å
α = 104.45°, β = 104.45°, γ = 90.00°
Fractional positions:
Zn 0.650 0.650 0.299
Al 0.018 0.018 0.035
Sb 0.333 0.333 0.666


Record 2
Computed, not measured: an optimized crystal structure of ZrAlSb at the GGA-PBEsol level of DFT.

Computed properties:
Density of states at the Fermi level, states/eV per cell: 1.120
Crystal system: tetragonal

a = 3.075 Å, b = 3.075 Å, c = 7.324 Å
α = 102.12°, β = 102.12°, γ = 90.00°
Fractional positions:
Sb 0.320 0.320 0.641
Al 0.021 0.021 0.043
Zr 0.658 0.658 0.316


Record 3
Computed, not measured: an optimized crystal structure of ZrAlSb2 at the GGA-PBEsol level of DFT.

Computed properties:
Density of states at the Fermi level, states/eV per cell: 1.112
Crystal system: orthorhombic

a = 3.891 Å, b = 4.129 Å, c = 5.867 Å
α = 90.00°, β = 109.36°, γ = 90.00°
Fractional positions:
Zr 0.826 0.000 0.653
Sb 0.402 0.500 0.805
Sb 0.114 0.000 0.227
Al 0.645 0.500 0.291


Record 4
Computed, not measured: an optimized crystal structure of Zr2AlSb at the GGA-PBEsol level of DFT.

Computed properties:
Density of states at the Fermi level, states/eV per cell: 6.332
Offset from the most stable computed form, kJ/mol of formula units: 195
Crystal system: tetragonal

a = 4.144 Å, b = 4.144 Å, c = 10.726 Å
α = 101.14°, β = 101.14°, γ = 90.00°
Fractional positions:
Zr 0.625 0.624 0.750
Al 0.750 0.250 0.500
Sb 0.000 0.000 0.000
Zr 0.376 0.875 0.250
Zr 0.874 0.375 0.250
Zr 0.125 0.126 0.750
Sb 0.250 0.750 0.500
Al 0.500 0.500 0.000


Record 5
Computed, not measured: an optimized crystal structure of ZrAlSb2 at the GGA-PBEsol level of DFT.

Computed properties:
Density of states at the Fermi level, states/eV per cell: 2.743
Crystal system: tetragonal

a = 4.403 Å, b = 4.403 Å, c = 5.465 Å
α = 113.75°, β = 113.75°, γ = 90.00°
Fractional positions:
Sb 0.750 0.250 0.500
Sb 0.250 0.750 0.500
Al 0.000 0.000 0.000
Zr 0.500 0.500 0.000


Record 6
Computed, not measured: an optimized crystal structure of Zr2AlSb at the GGA-PBEsol level of DFT.

Computed properties:
Density of states at the Fermi level, states/eV per cell: 2.218
Offset from the most stable computed form, kJ/mol of formula units: 0
Crystal system: tetragonal

a = 4.134 Å, b = 4.134 Å, c = 5.573 Å
α = 111.77°, β = 111.77°, γ = 90.00°
Fractional positions:
Zr 0.500 0.500 0.000
Zr 0.750 0.250 0.500
Al 0.000 0.000 0.000
Sb 0.250 0.750 0.500


Here are the calculated DFT total energy numbers, same order: -3.2250 -6.0649 -6.0513 -6.7060 -5.7075 -7.2112 (eV/atom).